<w>
Below is RbTlIn after structural relaxation, with properties calculated at the GGA-PBE level.

Geometry as CIF:
```
data_RbTlIn
_symmetry_space_group_name_H-M 'P n m a'
_symmetry_Int_Tables_number 62
_cell_length_a 18.351
_cell_length_b 5.015
_cell_length_c 5.009
_cell_angle_alpha 90.00
_cell_angle_beta 90.00
_cell_angle_gamma 90.00
loop_
_symmetry_equiv_pos_as_xyz
'x,y,z'
'-x,-y,-z'
'-x+1/2,-y,z+1/2'
'x+1/2,y,-z+1/2'
'x+1/2,-y+1/2,-z+1/2'
'-x+1/2,y+1/2,z+1/2'
'-x,y+1/2,-z'
'x,-y+1/2,z'
loop_
_atom_site_label
_atom_site_fract_x
_atom_site_fract_y
_atom_site_fract_z
Rb1 0.080 0.250 0.248
Tl1 0.143 0.750 0.748
In1 0.250 0.250 0.748
```



<x>
Below is RbTlIn after structural relaxation, with properties calculated at the GGA-PBE level.

Geometry as CIF:
```
data_RbTlIn
_symmetry_space_group_name_H-M 'I 4 m m'
_symmetry_Int_Tables_number 107
_symmetry_space_group_name_Hall 'I 4 -2'
_cell_length_a 3.991
_cell_length_b 3.991
_cell_length_c 13.950
_cell_angle_alpha 90.00
_cell_angle_beta 90.00
_cell_angle_gamma 90.00
loop_
_atom_site_label
_atom_site_fract_x
_atom_site_fract_y
_atom_site_fract_z
Rb1 0.000 0.000 0.000
Tl1 0.000 0.000 0.691
In1 0.000 0.000 0.309
```



The structure with the most favorable energy is <w>; the runner-up is 0.063 eV/atom above it.



<w>
Below is RbTlIn3 after structural relaxation, with properties calculated at the GGA-PBE level.

Geometry as CIF:
```
data_RbTlIn3
_symmetry_space_group_name_H-M 'C 1 m 1'
_symmetry_Int_Tables_number 8
_cell_length_a 7.134
_cell_length_b 7.108
_cell_length_c 7.458
_cell_angle_alpha 90.00
_cell_angle_beta 118.41
_cell_angle_gamma 90.00
loop_
_symmetry_equiv_pos_as_xyz
'x,y,z'
'x,-y,z'
'x+1/2,y+1/2,z'
'x+1/2,-y+1/2,z'
loop_
_atom_site_label
_atom_site_fract_x
_atom_site_fract_y
_atom_site_fract_z
Rb1 0.000 0.000 0.000
Tl1 0.390 0.000 0.780
In1 0.119 0.500 0.237
In2 0.499 0.251 0.498
```



<x>
Below is RbTlIn3 after structural relaxation, with properties calculated at the GGA-PBE level.

Geometry as CIF:
```
data_RbTlIn3
_symmetry_space_group_name_H-M 'P m -3 m'
_symmetry_Int_Tables_number 221
_symmetry_space_group_name_Hall '-P 4 2 3'
_cell_length_a 5.965
_cell_length_b 5.965
_cell_length_c 5.965
_cell_angle_alpha 90.00
_cell_angle_beta 90.00
_cell_angle_gamma 90.00
loop_
_atom_site_label
_atom_site_fract_x
_atom_site_fract_y
_atom_site_fract_z
Rb1 0.000 0.000 0.000
Tl1 0.500 0.500 0.500
In1 0.000 0.500 0.500
```



<y>
Below is RbTlIn3 after structural relaxation, with properties calculated at the GGA-PBE level.

Geometry as CIF:
```
data_RbTlIn3
_symmetry_space_group_name_H-M 'P m -3 m'
_symmetry_Int_Tables_number 221
_symmetry_space_group_name_Hall '-P 4 2 3'
_cell_length_a 6.334
_cell_length_b 6.334
_cell_length_c 6.334
_cell_angle_alpha 90.00
_cell_angle_beta 90.00
_cell_angle_gamma 90.00
loop_
_atom_site_label
_atom_site_fract_x
_atom_site_fract_y
_atom_site_fract_z
Rb1 0.000 0.000 0.000
Tl1 0.500 0.500 0.500
In1 0.000 0.000 0.500
```



The structure with the most favorable energy is <w>; the runner-up is 0.327 eV/atom above it.



<w>
Below is RbTl2In after structural relaxation, with properties calculated at the GGA-PBE level.

Geometry as CIF:
```
data_RbTl2In
_symmetry_space_group_name_H-M 'R -3 m'
_symmetry_Int_Tables_number 166
_symmetry_space_group_name_Hall '-R 3 2"'
_cell_length_a 5.1861
_cell_length_b 5.1861
_cell_length_c 20.1098
_cell_angle_alpha 90.00
_cell_angle_beta 90.00
_cell_angle_gamma 120.00
loop_
_atom_site_label
_atom_site_fract_x
_atom_site_fract_y
_atom_site_fract_z
Rb1 0.0000 0.0000 0.0000
Tl1 0.0000 0.0000 0.2165
In1 0.0000 0.0000 0.5000
```



<x>
Below is RbTl2In after structural relaxation, with properties calculated at the GGA-PBE level.

Geometry as CIF:
```
data_RbTl2In
_symmetry_space_group_name_H-M 'I -4 2 d'
_symmetry_Int_Tables_number 122
_symmetry_space_group_name_Hall 'I -4 2bw'
_cell_length_a 5.764
_cell_length_b 5.764
_cell_length_c 21.347
_cell_angle_alpha 90.00
_cell_angle_beta 90.00
_cell_angle_gamma 90.00
loop_
_atom_site_label
_atom_site_fract_x
_atom_site_fract_y
_atom_site_fract_z
Rb1 0.000 0.000 0.000
Tl1 0.106 0.250 0.625
In1 0.000 0.000 0.500
```



<y>
Below is RbTl2In after structural relaxation, with properties calculated at the GGA-PBE level.

Geometry as CIF:
```
data_RbTl2In
_symmetry_space_group_name_H-M 'P 4/m m m'
_symmetry_Int_Tables_number 123
_symmetry_space_group_name_Hall '-P 4 2'
_cell_length_a 3.983
_cell_length_b 3.983
_cell_length_c 8.765
_cell_angle_alpha 90.00
_cell_angle_beta 90.00
_cell_angle_gamma 90.00
loop_
_atom_site_label
_atom_site_fract_x
_atom_site_fract_y
_atom_site_fract_z
Rb1 0.000 0.000 0.000
Tl1 0.500 0.500 0.303
In1 0.000 0.000 0.500
```



<z>
Below is RbTl2In after structural relaxation, with properties calculated at the GGA-PBE level.

Geometry as CIF:
```
data_RbTl2In
_symmetry_space_group_name_H-M 'P n m a'
_symmetry_Int_Tables_number 62
_cell_length_a 8.174
_cell_length_b 5.430
_cell_length_c 12.730
_cell_angle_alpha 90.00
_cell_angle_beta 90.00
_cell_angle_gamma 90.00
loop_
_symmetry_equiv_pos_as_xyz
'x,y,z'
'-x,-y,-z'
'-x+1/2,-y,z+1/2'
'x+1/2,y,-z+1/2'
'x+1/2,-y+1/2,-z+1/2'
'-x+1/2,y+1/2,z+1/2'
'-x,y+1/2,-z'
'x,-y+1/2,z'
loop_
_atom_site_label
_atom_site_fract_x
_atom_site_fract_y
_atom_site_fract_z
Rb1 0.249 0.250 0.170
Tl1 0.052 0.250 0.879
Tl2 0.233 0.250 0.460
In1 0.059 0.750 0.378
```



The structure with the most favorable energy is <w>; the runner-up is 0.008 eV/atom above it.



<w>
Below is RbTl2In after structural relaxation, with properties calculated at the GGA-PBE level.

Geometry as CIF:
```
data_RbTl2In
_symmetry_space_group_name_H-M 'R 3 m'
_symmetry_Int_Tables_number 160
_symmetry_space_group_name_Hall 'R 3 -2"'
_cell_length_a 5.0718
_cell_length_b 5.0718
_cell_length_c 21.4737
_cell_angle_alpha 90.00
_cell_angle_beta 90.00
_cell_angle_gamma 120.00
loop_
_atom_site_label
_atom_site_fract_x
_atom_site_fract_y
_atom_site_fract_z
Rb1 0.0000 0.0000 0.0000
Tl1 0.0000 0.0000 0.5555
Tl2 0.0000 0.0000 0.7854
In1 0.0000 0.0000 0.1801
```



<x>
Below is RbTl2In after structural relaxation, with properties calculated at the GGA-PBE level.

Geometry as CIF:
```
data_RbTl2In
_symmetry_space_group_name_H-M 'P 1 21/m 1'
_symmetry_Int_Tables_number 11
_cell_length_a 7.032
_cell_length_b 5.051
_cell_length_c 8.860
_cell_angle_alpha 90.00
_cell_angle_beta 112.34
_cell_angle_gamma 90.00
loop_
_symmetry_equiv_pos_as_xyz
'x,y,z'
'-x,-y,-z'
'-x,y+1/2,-z'
'x,-y+1/2,z'
loop_
_atom_site_label
_atom_site_fract_x
_atom_site_fract_y
_atom_site_fract_z
Rb1 0.208 0.250 0.414
Tl1 0.139 0.250 0.886
Tl2 0.386 0.750 0.773
In1 0.324 0.750 0.119
```



<y>
Below is RbTl2In after structural relaxation, with properties calculated at the GGA-PBE level.

Geometry as CIF:
```
data_RbTl2In
_symmetry_space_group_name_H-M 'F m -3 m'
_symmetry_Int_Tables_number 225
_symmetry_space_group_name_Hall '-F 4 2 3'
_cell_length_a 8.094
_cell_length_b 8.094
_cell_length_c 8.094
_cell_angle_alpha 90.00
_cell_angle_beta 90.00
_cell_angle_gamma 90.00
loop_
_atom_site_label
_atom_site_fract_x
_atom_site_fract_y
_atom_site_fract_z
Rb1 0.000 0.000 0.000
Tl1 0.250 0.250 0.250
In1 0.000 0.000 0.500
```



The structure with the most favorable energy is <x>; the runner-up is 0.024 eV/atom above it.



<w>
Below is RbTl6In after structural relaxation, with properties calculated at the GGA-PBE level.

Geometry as CIF:
```
data_RbTl6In
_symmetry_space_group_name_H-M 'R -3 m'
_symmetry_Int_Tables_number 166
_symmetry_space_group_name_Hall '-R 3 2"'
_cell_length_a 5.5448
_cell_length_b 5.5448
_cell_length_c 30.7060
_cell_angle_alpha 90.00
_cell_angle_beta 90.00
_cell_angle_gamma 120.00
loop_
_atom_site_label
_atom_site_fract_x
_atom_site_fract_y
_atom_site_fract_z
Rb1 0.0000 0.0000 0.0000
Tl1 0.0000 0.0000 0.1324
Tl2 0.0000 0.0000 0.2426
Tl3 0.0000 0.0000 0.4006
In1 0.0000 0.0000 0.5000
```



<x>
Below is RbTl6In after structural relaxation, with properties calculated at the GGA-PBE level.

Geometry as CIF:
```
data_RbTl6In
_symmetry_space_group_name_H-M 'P 4/m m m'
_symmetry_Int_Tables_number 123
_symmetry_space_group_name_Hall '-P 4 2'
_cell_length_a 5.416
_cell_length_b 5.416
_cell_length_c 9.699
_cell_angle_alpha 90.00
_cell_angle_beta 90.00
_cell_angle_gamma 90.00
loop_
_atom_site_label
_atom_site_fract_x
_atom_site_fract_y
_atom_site_fract_z
Rb1 0.000 0.000 0.000
Tl1 0.000 0.500 0.324
Tl2 0.500 0.500 0.156
In1 0.000 0.000 0.500
```



The structure with the most favorable energy is <w>; the runner-up is 0.036 eV/atom above it.



<w>
Below is Rb2TlIn after structural relaxation, with properties calculated at the GGA-PBE level.

Geometry as CIF:
```
data_Rb2TlIn
_symmetry_space_group_name_H-M 'P 4/m m m'
_symmetry_Int_Tables_number 123
_symmetry_space_group_name_Hall '-P 4 2'
_cell_length_a 6.471
_cell_length_b 6.471
_cell_length_c 4.156
_cell_angle_alpha 90.00
_cell_angle_beta 90.00
_cell_angle_gamma 90.00
loop_
_atom_site_label
_atom_site_fract_x
_atom_site_fract_y
_atom_site_fract_z
Rb1 0.000 0.500 0.000
Tl1 0.000 0.000 0.500
In1 0.500 0.500 0.500
```



<x>
Below is Rb2TlIn after structural relaxation, with properties calculated at the GGA-PBE level.

Geometry as CIF:
```
data_Rb2TlIn
_symmetry_space_group_name_H-M 'R -3 m'
_symmetry_Int_Tables_number 166
_symmetry_space_group_name_Hall '-R 3 2"'
_cell_length_a 3.9358
_cell_length_b 3.9358
_cell_length_c 40.4345
_cell_angle_alpha 90.00
_cell_angle_beta 90.00
_cell_angle_gamma 120.00
loop_
_atom_site_label
_atom_site_fract_x
_atom_site_fract_y
_atom_site_fract_z
Rb1 0.0000 0.0000 0.0905
Tl1 0.0000 0.0000 0.5000
In1 0.0000 0.0000 0.0000
```



The structure with the most favorable energy is <w>; the runner-up is 0.122 eV/atom above it.